# GGA-PBE LiCr, optimized geometry
# **Excess energy over the best structure of this formula in the dataset**: 0.285 eV per atom
# **Energy**: -20.81 eV/cell
# **N(E_F)**: 0.77 states/eV/atom
# **ΔH_f (0 K)**: 565 meV/atom
# **SG**: No. 74
# **Spin magnetization**: 0.000 μB per atom
data_LiCr
_cell_length_a 4.936
_cell_length_b 4.936
_cell_length_c 4.936
_cell_angle_alpha 146.41
_cell_angle_beta 122.69
_cell_angle_gamma 68.10
_space_group_name_H-M_alt 'P 1'
_space_group_IT_number 1
loop_
_space_group_symop_operation_xyz
'x,y,z'
loop_
_atom_site_label
_atom_site_fract_x
_atom_site_fract_y
_atom_site_fract_z
_atom_site_occupancy
Li1 0.130 0.380 0.250 1
Li2 0.870 0.620 0.750 1
Cr1 0.409 0.159 0.750 1
Cr2 0.591 0.841 0.250 1

# GGA-PBE LiCr, optimized geometry
# **Excess energy over the best structure of this formula in the dataset**: 0.218 eV per atom
# **Energy**: -31.62 eV/cell
# **N(E_F)**: 0.65 states/eV/atom
# **ΔH_f (0 K)**: 498 meV/atom
# **SG**: No. 8
# **Spin magnetization**: 0.000 μB per atom
data_LiCr
_cell_length_a 5.653
_cell_length_b 5.653
_cell_length_c 5.728
_cell_angle_alpha 79.14
_cell_angle_beta 79.14
_cell_angle_gamma 26.09
_space_group_name_H-M_alt 'P 1'
_space_group_IT_number 1
loop_
_space_group_symop_operation_xyz
'x,y,z'
loop_
_atom_site_label
_atom_site_fract_x
_atom_site_fract_y
_atom_site_fract_z
_atom_site_occupancy
Li1 0.337 0.337 0.318 1
Li2 0.931 0.931 0.620 1
Li3 0.280 0.280 0.938 1
Cr1 0.609 0.609 0.305 1
Cr2 0.039 0.039 0.006 1
Cr3 0.637 0.637 0.646 1

# GGA-PBE LiCr, optimized geometry
# **Excess energy over the best structure of this formula in the dataset**: 0.196 eV per atom
# **Energy**: -10.59 eV/cell
# **N(E_F)**: 1.04 states/eV/atom
# **ΔH_f (0 K)**: 476 meV/atom
# **SG**: No. 65
# **Spin magnetization**: 0.000 μB per atom
data_LiCr
_cell_length_a 2.346
_cell_length_b 4.715
_cell_length_c 2.346
_cell_angle_alpha 90.00
_cell_angle_beta 107.25
_cell_angle_gamma 90.00
_space_group_name_H-M_alt 'P 1'
_space_group_IT_number 1
loop_
_space_group_symop_operation_xyz
'x,y,z'
loop_
_atom_site_label
_atom_site_fract_x
_atom_site_fract_y
_atom_site_fract_z
_atom_site_occupancy
Li1 0.000 0.000 0.500 1
Cr1 0.500 0.500 0.000 1

# GGA-PBE LiCr3, optimized geometry
# **Energy**: -29.36 eV/cell
# **N(E_F)**: 0.83 states/eV/atom
# **ΔH_f (0 K)**: 355 meV/atom
# **SG**: No. 166
# **Spin magnetization**: 0.000 μB per atom
data_LiCr3
_cell_length_a 4.866
_cell_length_b 4.866
_cell_length_c 4.866
_cell_angle_alpha 117.53
_cell_angle_beta 117.53
_cell_angle_gamma 117.53
_space_group_name_H-M_alt 'P 1'
_space_group_IT_number 1
loop_
_space_group_symop_operation_xyz
'x,y,z'
loop_
_atom_site_label
_atom_site_fract_x
_atom_site_fract_y
_atom_site_fract_z
_atom_site_occupancy
Cr1 0.000 0.000 0.000 1
Cr2 0.500 0.000 0.500 1
Cr3 0.000 0.500 0.500 1
Li1 0.500 0.500 0.000 1

# GGA-PBE LiCr, optimized geometry
# **Excess energy over the best structure of this formula in the dataset**: 0.000 eV per atom
# **Energy**: -21.95 eV/cell
# **N(E_F)**: 0.48 states/eV/atom
# **ΔH_f (0 K)**: 280 meV/atom
# **SG**: No. 2
# **Spin magnetization**: 0.000 μB per atom
data_LiCr
_cell_length_a 2.486
_cell_length_b 2.484
_cell_length_c 9.127
_cell_angle_alpha 90.98
_cell_angle_beta 91.68
_cell_angle_gamma 110.17
_space_group_name_H-M_alt 'P 1'
_space_group_IT_number 1
loop_
_space_group_symop_operation_xyz
'x,y,z'
loop_
_atom_site_label
_atom_site_fract_x
_atom_site_fract_y
_atom_site_fract_z
_atom_site_occupancy
Li1 0.274 0.791 0.642 1
Li2 0.726 0.209 0.358 1
Cr1 0.790 0.294 0.894 1
Cr2 0.210 0.706 0.106 1

# GGA-PBE Li2Cr, optimized geometry
# **Energy**: -23.93 eV/cell
# **N(E_F)**: 0.63 states/eV/atom
# **ΔH_f (0 K)**: 496 meV/atom
# **SG**: No. 8
# **Spin magnetization**: 1.405 μB per atom
data_Li2Cr
_cell_length_a 5.542
_cell_length_b 5.542
_cell_length_c 7.013
_cell_angle_alpha 75.22
_cell_angle_beta 75.22
_cell_angle_gamma 30.61
_space_group_name_H-M_alt 'P 1'
_space_group_IT_number 1
loop_
_space_group_symop_operation_xyz
'x,y,z'
loop_
_atom_site_label
_atom_site_fract_x
_atom_site_fract_y
_atom_site_fract_z
_atom_site_occupancy
Li1 0.724 0.724 0.052 1
Li2 0.386 0.386 0.726 1
Li3 0.333 0.333 0.333 1
Li4 0.056 0.056 0.391 1
Cr1 0.664 0.664 0.666 1
Cr2 0.003 0.003 0.000 1